DFT (GGA-PBE) results for a relaxed structure of TaV2Ni.

CIF file:
```
data_TaV2Ni
_chemical_formula_sum 'Ta4 V8 Ni4'
_cell_length_a 6.072
_cell_length_b 6.072
_cell_length_c 6.072
_cell_angle_alpha 90.00
_cell_angle_beta 90.00
_cell_angle_gamma 90.00
_space_group_name_H-M_alt 'F m -3 m'
_space_group_IT_number 225
_space_group_name_Hall '-F 4 2 3'
loop_
_atom_site_label
_atom_site_fract_x
_atom_site_fract_y
_atom_site_fract_z
Ta1 0.000 0.000 0.000
V1 0.250 0.250 0.250
Ni1 0.000 0.000 0.500
```

Computed properties:
* ΔE to the lowest computed polymorph: 0.044 eV/atom
* DOS at the Fermi energy: 18.632 states/eV/cell
* total energy: -8.921 eV/atom